(1)
# GGA+U K2MnWO6, relaxed
data_K2MnWO6
_chemical_formula_sum 'K8 Mn4 W4 O24'
_cell_length_a 7.844
_cell_length_b 7.844
_cell_length_c 7.844
_cell_angle_alpha 90.00
_cell_angle_beta 90.00
_cell_angle_gamma 90.00
_symmetry_space_group_name_H-M 'F m -3 m'
_symmetry_Int_Tables_number 225
_symmetry_space_group_name_Hall '-F 4 2 3'
loop_
_atom_site_label
_atom_site_type_symbol
_atom_site_fract_x
_atom_site_fract_y
_atom_site_fract_z
K1 K 0.250 0.250 0.250
Mn1 Mn 0.000 0.000 0.000
W1 W 0.000 0.000 0.500
O1 O 0.000 0.000 0.250
# DOS(E_F) ... 0.3076 states/eV/atom
# Total energy ... -255.68 eV for the cell shown

(2)
# GGA+U K2MnW3O12, relaxed
data_K2MnW3O12
_chemical_formula_sum 'K6 Mn3 W9 O36'
_cell_length_a 7.3497
_cell_length_b 7.3497
_cell_length_c 17.4350
_cell_angle_alpha 90.00
_cell_angle_beta 90.00
_cell_angle_gamma 120.00
_symmetry_space_group_name_H-M 'R -3 m'
_symmetry_Int_Tables_number 166
_symmetry_space_group_name_Hall '-R 3 2"'
loop_
_atom_site_label
_atom_site_type_symbol
_atom_site_fract_x
_atom_site_fract_y
_atom_site_fract_z
K1 K 0.0000 0.0000 0.1403
Mn1 Mn 0.0000 0.0000 0.5000
W1 W 0.0000 0.5000 0.0000
O1 O 0.0840 0.5420 0.3585
O2 O 0.0871 0.5435 0.1042
# Total energy ... -376.75 eV for the cell shown

(3)
# GGA+U KMn2WO8, relaxed
data_KMn2WO8
_chemical_formula_sum 'K1 Mn2 W1 O8'
_cell_length_a 5.070
_cell_length_b 5.099
_cell_length_c 7.140
_cell_angle_alpha 74.13
_cell_angle_beta 75.70
_cell_angle_gamma 71.95
_symmetry_space_group_name_H-M 'P -1'
_symmetry_Int_Tables_number 2
_symmetry_space_group_name_Hall '-P 1'
loop_
_atom_site_label
_atom_site_type_symbol
_atom_site_fract_x
_atom_site_fract_y
_atom_site_fract_z
K1 K 0.000 0.000 0.000
Mn1 Mn 0.452 0.451 0.218
W1 W 0.000 0.000 0.500
O1 O 0.204 0.741 0.710
O2 O 0.241 0.776 0.308
O3 O 0.256 0.230 0.427
O4 O 0.384 0.323 0.024
# DOS(E_F) ... 0.2692 states/eV/atom
# Total energy ... -79.21 eV for the cell shown

(4)
# GGA+U KYMnO3, relaxed
data_KYMnO3
_chemical_formula_sum 'K4 Y4 Mn4 O12'
_cell_length_a 3.582
_cell_length_b 13.544
_cell_length_c 9.180
_cell_angle_alpha 90.00
_cell_angle_beta 90.00
_cell_angle_gamma 90.00
_symmetry_space_group_name_H-M 'C m c m'
_symmetry_Int_Tables_number 63
_symmetry_space_group_name_Hall '-C 2c 2'
loop_
_atom_site_label
_atom_site_type_symbol
_atom_site_fract_x
_atom_site_fract_y
_atom_site_fract_z
K1 K 0.000 0.182 0.250
Y1 Y 0.000 0.500 0.000
Mn1 Mn 0.000 0.083 0.750
O1 O 0.000 0.106 0.538
O2 O 0.000 0.484 0.750
# Total energy ... -173.17 eV for the cell shown

(5)
# GGA+U K3Y2MnO6, relaxed
data_K3Y2MnO6
_chemical_formula_sum 'K6 Y4 Mn2 O12'
_cell_length_a 5.807
_cell_length_b 10.274
_cell_length_c 6.502
_cell_angle_alpha 90.00
_cell_angle_beta 106.92
_cell_angle_gamma 90.00
_symmetry_space_group_name_H-M 'C 1 2/m 1'
_symmetry_Int_Tables_number 12
_symmetry_space_group_name_Hall '-C 2y'
loop_
_atom_site_label
_atom_site_type_symbol
_atom_site_fract_x
_atom_site_fract_y
_atom_site_fract_z
K1 K 0.000 0.000 0.000
K2 K 0.000 0.338 0.000
Y1 Y 0.000 0.170 0.500
Mn1 Mn 0.000 0.500 0.500
O1 O 0.227 0.336 0.691
O2 O 0.240 0.500 0.332
# Total energy ... -161.96 eV for the cell shown

(6)
# GGA+U KMnZnO3, relaxed
data_KMnZnO3
_chemical_formula_sum 'K2 Mn2 Zn2 O6'
_cell_length_a 7.220
_cell_length_b 3.061
_cell_length_c 8.961
_cell_angle_alpha 90.00
_cell_angle_beta 101.43
_cell_angle_gamma 90.00
_symmetry_space_group_name_H-M 'P 1 21/m 1'
_symmetry_Int_Tables_number 11
_symmetry_space_group_name_Hall '-P 2yb'
loop_
_atom_site_label
_atom_site_type_symbol
_atom_site_fract_x
_atom_site_fract_y
_atom_site_fract_z
K1 K 0.184 0.250 0.229
Mn1 Mn 0.376 0.750 0.868
Zn1 Zn 0.138 0.250 0.590
O1 O 0.167 0.750 0.464
O2 O 0.195 0.250 0.818
O3 O 0.444 0.750 0.117
# Total energy ... -66.83 eV for the cell shown

(7)
# GGA+U K2MnZn2O4, relaxed
data_K2MnZn2O4
_chemical_formula_sum 'K4 Mn2 Zn4 O8'
_cell_length_a 13.663
_cell_length_b 3.318
_cell_length_c 6.282
_cell_angle_alpha 90.00
_cell_angle_beta 107.09
_cell_angle_gamma 90.00
_symmetry_space_group_name_H-M 'C 1 2/m 1'
_symmetry_Int_Tables_number 12
_symmetry_space_group_name_Hall '-C 2y'
loop_
_atom_site_label
_atom_site_type_symbol
_atom_site_fract_x
_atom_site_fract_y
_atom_site_fract_z
K1 K 0.124 0.000 0.027
Mn1 Mn 0.000 0.000 0.500
Zn1 Zn 0.170 0.500 0.502
O1 O 0.030 0.500 0.300
O2 O 0.218 0.000 0.680
# DOS(E_F) ... 0.0219 states/eV/atom
# Total energy ... -89.11 eV for the cell shown

(8)
# GGA+U K3ZrMn2O6, relaxed
data_K3ZrMn2O6
_chemical_formula_sum 'K6 Zr2 Mn4 O12'
_cell_length_a 5.516
_cell_length_b 9.494
_cell_length_c 6.400
_cell_angle_alpha 90.00
_cell_angle_beta 106.98
_cell_angle_gamma 90.00
_symmetry_space_group_name_H-M 'C 1 2/m 1'
_symmetry_Int_Tables_number 12
_symmetry_space_group_name_Hall '-C 2y'
loop_
_atom_site_label
_atom_site_type_symbol
_atom_site_fract_x
_atom_site_fract_y
_atom_site_fract_z
K1 K 0.000 0.000 0.000
K2 K 0.000 0.330 0.000
Zr1 Zr 0.000 0.500 0.500
Mn1 Mn 0.000 0.167 0.500
O1 O 0.221 0.000 0.678
O2 O 0.224 0.331 0.679
# DOS(E_F) ... 0.1903 states/eV/atom
# Total energy ... -151.67 eV for the cell shown

(9)
# GGA+U KZrMnO4, relaxed
data_KZrMnO4
_chemical_formula_sum 'K4 Zr4 Mn4 O16'
_cell_length_a 6.212
_cell_length_b 6.610
_cell_length_c 10.152
_cell_angle_alpha 90.00
_cell_angle_beta 90.00
_cell_angle_gamma 90.00
_symmetry_space_group_name_H-M 'I m m a'
_symmetry_Int_Tables_number 74
_symmetry_space_group_name_Hall '-I 2b 2'
loop_
_atom_site_label
_atom_site_type_symbol
_atom_site_fract_x
_atom_site_fract_y
_atom_site_fract_z
K1 K 0.000 0.250 0.150
Zr1 Zr 0.000 0.000 0.500
Mn1 Mn 0.250 0.250 0.750
O1 O 0.000 0.060 0.717
O2 O 0.212 0.250 0.509
# Total energy ... -209.45 eV for the cell shown

(10)
# GGA+U KZr2Mn2O7, relaxed
data_KZr2Mn2O7
_chemical_formula_sum 'K2 Zr4 Mn4 O14'
_cell_length_a 4.204
_cell_length_b 4.262
_cell_length_c 17.993
_cell_angle_alpha 90.00
_cell_angle_beta 90.00
_cell_angle_gamma 90.00
_symmetry_space_group_name_H-M 'I m m m'
_symmetry_Int_Tables_number 71
_symmetry_space_group_name_Hall '-I 2 2'
loop_
_atom_site_label
_atom_site_type_symbol
_atom_site_fract_x
_atom_site_fract_y
_atom_site_fract_z
K1 K 0.000 0.000 0.000
Zr1 Zr 0.000 0.000 0.387
Mn1 Mn 0.000 0.500 0.250
O1 O 0.000 0.000 0.261
O2 O 0.000 0.000 0.500
O3 O 0.000 0.500 0.131
O4 O 0.000 0.500 0.371
# DOS(E_F) ... 0.2865 states/eV/atom
# Total energy ... -194.30 eV for the cell shown